Entry 1:
Below is a PBEsol-optimized structure of K4ZnRh, with properties calculated at the SCAN level.

Cell and atoms, written as POSCAR:
```
K4ZnRh
1.0
-1.9341 5.7528 -2.2934
-5.7191 2.4625 1.8228
-0.2067 5.1567 3.9320
Zn K Rh
1 4 1
Direct
0.0000 0.0000 0.0000 Zn
0.3758 0.8727 0.3758 K
0.8727 0.3758 0.3758 K
0.3758 0.3758 0.8727 K
0.3758 0.3758 0.3758 K
0.7500 0.7500 0.7500 Rh
```

Computed properties:
The energy relative to the elements comes out at 0.8822 eV per atom. The calculation puts the density at 2.79 Mg/m³.

=====

Entry 2:
Below is a PBEsol-optimized structure of K3ZnRh, with properties calculated at the SCAN level.

Cell and atoms, written as POSCAR:
```
K3ZnRh
1.0
5.8449 0.0000 0.0000
0.0000 5.8449 0.0000
0.0000 0.0000 5.8449
K Rh Zn
3 1 1
Direct
0.5000 0.0000 0.0000 K
0.0000 0.5000 0.0000 K
0.0000 0.0000 0.5000 K
0.0000 0.0000 0.0000 Rh
0.5000 0.5000 0.5000 Zn
```

Computed properties:
The energy relative to the elements comes out at 0.6544 eV per atom. The calculation puts the density at 2.38 Mg/m³.

=====

Entry 3:
Below is a PBEsol-optimized structure of KZnRh2, with properties calculated at the SCAN level.

Cell and atoms, written as POSCAR:
```
KZnRh2
1.0
-1.1492 2.4656 0.1646
-4.1010 -2.0513 2.0941
4.6696 0.4364 3.5048
Rh Zn K
2 1 1
Direct
0.0375 0.0375 0.0750 Rh
0.7467 0.2467 0.4934 Rh
0.4625 0.4625 0.9250 Zn
0.2533 0.7533 0.5065 K
```

Computed properties:
The energy relative to the elements comes out at 0.4661 eV per atom. The calculation puts the density at 7.35 Mg/m³.

=====

Entry 4:
Below is a PBEsol-optimized structure of KRu, with properties calculated at the SCAN level.

Cell and atoms, written as POSCAR:
```
KRu
1.0
2.7611 0.0000 0.0000
1.3805 2.3912 0.0000
1.3805 0.7971 5.6523
Ru K
1 1
Direct
0.5000 0.5000 0.5000 Ru
0.0000 0.0000 0.0000 K
```

Computed properties:
The energy relative to the elements comes out at 1.2438 eV per atom. The calculation puts the density at 6.24 Mg/m³. For the relative energy among the computed polymorphs, the calculation gives 105 kJ/mol of formula units.

=====

Entry 5:
Below is a PBEsol-optimized structure of KRu, with properties calculated at the SCAN level.

Cell and atoms, written as POSCAR:
```
KRu
1.0
-1.6313 -0.3910 -2.1925
1.5253 -2.0842 0.9747
-4.2366 -1.5011 3.4198
K Ru
1 1
Direct
0.0000 0.0000 0.0000 K
0.3333 0.6667 0.5000 Ru
```

Computed properties:
The energy relative to the elements comes out at 1.2417 eV per atom. The calculation puts the density at 6.24 Mg/m³. For the relative energy among the computed polymorphs, the calculation gives 105 kJ/mol of formula units.

=====

Entry 6:
Below is a PBEsol-optimized structure of K3Ru, with properties calculated at the SCAN level.

Cell and atoms, written as POSCAR:
```
K3Ru
1.0
3.5521 0.0000 0.0000
-1.7761 3.0762 0.0000
0.0000 0.0000 13.3612
K Ru
3 1
Direct
0.0000 0.0000 0.6861 K
0.0000 0.0000 0.3139 K
0.3333 0.6667 0.0000 K
0.3333 0.6667 0.5000 Ru
```

Computed properties:
The energy relative to the elements comes out at 1.1049 eV per atom. The calculation puts the density at 2.48 Mg/m³. For the relative energy among the computed polymorphs, the calculation gives 37 kJ/mol of formula units.

=====

Entry 7:
Below is a PBEsol-optimized structure of K3Ru, with properties calculated at the SCAN level.

Cell and atoms, written as POSCAR:
```
K3Ru
1.0
3.4313 0.0000 0.0000
0.0000 3.4313 0.0000
0.0000 0.0000 12.7372
K Ru
3 1
Direct
0.5000 0.5000 0.5000 K
0.0000 0.0000 0.1755 K
0.0000 0.0000 0.8245 K
0.5000 0.5000 0.0000 Ru
```

Computed properties:
The energy relative to the elements comes out at 1.0087 eV per atom. The calculation puts the density at 2.42 Mg/m³. For the relative energy among the computed polymorphs, the calculation gives 0 kJ/mol of formula units.

=====

Entry 8:
Below is a PBEsol-optimized structure of KRu, with properties calculated at the SCAN level.

Cell and atoms, written as POSCAR:
```
KRu
1.0
-1.2959 -0.5049 -2.4637
-2.1864 -1.8112 3.1457
-5.0677 8.3611 0.9520
Ru K
2 2
Direct
0.3685 0.7370 0.0426 Ru
0.6315 0.2630 0.9574 Ru
0.8826 0.7653 0.7189 K
0.1174 0.2347 0.2811 K
```

Computed properties:
The energy relative to the elements comes out at 0.6987 eV per atom. The calculation puts the density at 4.19 Mg/m³. For the relative energy among the computed polymorphs, the calculation gives 0 kJ/mol of formula units.

=====

Entry 9:
Below is a PBEsol-optimized structure of KRu, with properties calculated at the SCAN level.

Cell and atoms, written as POSCAR:
```
KRu
1.0
-3.4262 -0.4532 -0.9055
1.0006 -2.0053 -2.7824
-0.1553 -2.9219 2.0500
Ru K
1 1
Direct
0.5000 0.5000 0.5000 Ru
0.0000 0.0000 0.0000 K
```

Computed properties:
The energy relative to the elements comes out at 2.0894 eV per atom. The calculation puts the density at 5.10 Mg/m³. For the relative energy among the computed polymorphs, the calculation gives 268 kJ/mol of formula units.

=====

Entry 10:
Below is a PBEsol-optimized structure of K4Ru, with properties calculated at the SCAN level.

Cell and atoms, written as POSCAR:
```
K4Ru
1.0
6.6985 0.0000 0.0000
-2.2328 6.3154 0.0000
-2.2328 -3.1577 5.4693
K Ru
4 1
Direct
0.0000 0.5000 0.0000 K
0.0000 0.0000 0.5000 K
0.5000 0.5000 0.5000 K
0.5000 0.0000 0.0000 K
0.0000 0.0000 0.0000 Ru
```

Computed properties:
The energy relative to the elements comes out at 0.8702 eV per atom. The calculation puts the density at 1.85 Mg/m³.

=====

Entry 11:
Below is a PBEsol-optimized structure of K3RuS, with properties calculated at the SCAN level.

Cell and atoms, written as POSCAR:
```
K3RuS
1.0
5.2139 0.0000 0.0000
0.0000 5.2139 0.0000
0.0000 0.0000 5.2139
K Ru S
3 1 1
Direct
0.5000 0.0000 0.0000 K
0.0000 0.5000 0.0000 K
0.0000 0.0000 0.5000 K
0.0000 0.0000 0.0000 Ru
0.5000 0.5000 0.5000 S
```

Computed properties:
As for the uncorrected formation energy: 0.749 eV/atom. The calculation puts the density at 2.93 Mg/m³.

=====

Entry 12:
Below is a PBEsol-optimized structure of KRuS3, with properties calculated at the SCAN level.

Cell and atoms, written as POSCAR:
```
KRuS3
1.0
4.6828 0.0000 0.0000
0.0000 4.6828 0.0000
0.0000 0.0000 4.6828
K S Ru
1 3 1
Direct
0.5000 0.5000 0.5000 K
0.5000 0.0000 0.0000 S
0.0000 0.5000 0.0000 S
0.0000 0.0000 0.5000 S
0.0000 0.0000 0.0000 Ru
```

Computed properties:
As for the uncorrected formation energy: -0.286 eV/atom. The calculation puts the density at 3.82 Mg/m³.